# DyHoCuHg, relaxed, DFT PBE
data_DyHoCuHg
_cell_length_a 3.537
_cell_length_b 3.537
_cell_length_c 7.419
_cell_angle_alpha 90.00
_cell_angle_beta 90.00
_cell_angle_gamma 90.00
_space_group_name_H-M_alt 'P 1'
_space_group_IT_number 1
loop_
_space_group_symop_operation_xyz
'x,y,z'
loop_
_atom_site_label
_atom_site_type_symbol
_atom_site_fract_x
_atom_site_fract_y
_atom_site_fract_z
Dy1 Dy 0.000 0.000 0.834
Ho1 Ho 0.000 0.000 0.380
Cu1 Cu 0.500 0.500 0.605
Hg1 Hg 0.500 0.500 0.109
# Calculated volume   23.2 Å³ per atom
# E   -15.020 eV per formula unit

***

# Pu4Pt2Au5, relaxed, DFT PBE
data_Pu4Pt2Au5
_cell_length_a 3.738
_cell_length_b 7.305
_cell_length_c 9.242
_cell_angle_alpha 94.38
_cell_angle_beta 90.00
_cell_angle_gamma 90.00
_space_group_name_H-M_alt 'P 1'
_space_group_IT_number 1
loop_
_space_group_symop_operation_xyz
'x,y,z'
loop_
_atom_site_label
_atom_site_type_symbol
_atom_site_fract_x
_atom_site_fract_y
_atom_site_fract_z
Pu1 Pu 0.500 0.754 0.565
Pu2 Pu 0.500 0.188 0.870
Pu3 Pu 0.500 0.246 0.435
Pu4 Pu 0.500 0.812 0.130
Pt1 Pt 0.000 0.071 0.644
Pt2 Pt 0.000 0.929 0.356
Au1 Au 0.000 0.542 0.318
Au2 Au 0.000 0.178 0.144
Au3 Au 0.000 0.500 0.000
Au4 Au 0.000 0.822 0.856
Au5 Au 0.000 0.458 0.682
# Calculated volume   22.9 Å³ per atom
# E   -91.640 eV per formula unit

***

# NiSn4Sb, relaxed, DFT PBE
data_NiSn4Sb
_cell_length_a 11.747
_cell_length_b 6.547
_cell_length_c 6.547
_cell_angle_alpha 121.76
_cell_angle_beta 70.69
_cell_angle_gamma 70.69
_space_group_name_H-M_alt 'P 1'
_space_group_IT_number 1
loop_
_space_group_symop_operation_xyz
'x,y,z'
loop_
_atom_site_label
_atom_site_type_symbol
_atom_site_fract_x
_atom_site_fract_y
_atom_site_fract_z
Ni1 Ni 0.750 0.700 0.300
Ni2 Ni 0.250 0.300 0.700
Sn1 Sn 0.584 0.645 0.641
Sn2 Sn 0.965 0.804 0.283
Sn3 Sn 0.916 0.359 0.355
Sn4 Sn 0.535 0.717 0.196
Sn5 Sn 0.465 0.283 0.804
Sn6 Sn 0.084 0.641 0.645
Sn7 Sn 0.035 0.196 0.717
Sn8 Sn 0.416 0.355 0.359
Sb1 Sb 0.250 0.080 0.920
Sb2 Sb 0.750 0.920 0.080
# Energy relative to the elements, uncorrected   21 meV/atom
# Calculated volume   26.2 Å³ per atom
# E   -25.791 eV per formula unit

***

# ZnMoPt2, relaxed, DFT PBE
data_ZnMoPt2
_cell_length_a 9.182
_cell_length_b 9.182
_cell_length_c 9.182
_cell_angle_alpha 17.55
_cell_angle_beta 17.55
_cell_angle_gamma 17.55
_space_group_name_H-M_alt 'P 1'
_space_group_IT_number 1
loop_
_space_group_symop_operation_xyz
'x,y,z'
loop_
_atom_site_label
_atom_site_type_symbol
_atom_site_fract_x
_atom_site_fract_y
_atom_site_fract_z
Mo1 Mo 0.750 0.750 0.750
Pt1 Pt 0.003 0.003 0.003
Pt2 Pt 0.247 0.247 0.247
Zn1 Zn 0.501 0.501 0.501
# Calculated volume   15.4 Å³ per atom
# E   -24.887 eV per formula unit